A geometry-optimized HoAlPt structure, computed with PBE-GGA.

total DFT energy (no corrections): -17.041 eV/cell
space-group type: No. 216

Cell: 4.570 4.570 4.570 Å, 60.00 60.00 60.00°
Fractional positions:
Al 0.250 0.250 0.250
Ho 0.750 0.750 0.750
Pt 0.000 0.000 0.000

A geometry-optimized HoAl2Pt2 structure, computed with PBE-GGA.

total DFT energy (no corrections): -29.097 eV/cell
space-group type: No. 139

Cell: 6.008 6.008 6.008 Å, 139.04 139.04 59.32°
Fractional positions:
Al 0.378 0.378 0.000
Al 0.622 0.622 0.000
Ho 0.000 0.000 0.000
Pt 0.750 0.250 0.500
Pt 0.250 0.750 0.500

A geometry-optimized HoAlPt structure, computed with PBE-GGA.

total DFT energy (no corrections): -14.866 eV/cell
space-group type: No. 216

Cell: 4.660 4.660 4.660 Å, 60.00 60.00 60.00°
Fractional positions:
Al 0.250 0.250 0.250
Ho 0.000 0.000 0.000
Pt 0.750 0.750 0.750

A geometry-optimized HoAlSiPt2 structure, computed with PBE-GGA.

total DFT energy (no corrections): -62.987 eV/cell
space-group type: No. 129

Cell: 4.158 4.158 10.330 Å, 90.00 90.00 90.00°
Fractional positions:
Al 0.000 0.000 0.500
Al 0.500 0.500 0.500
Ho 0.000 0.500 0.247
Ho 0.500 0.000 0.753
Pt 0.000 0.000 0.000
Pt 0.500 0.500 0.000
Pt 0.500 0.000 0.358
Pt 0.000 0.500 0.642
Si 0.500 0.000 0.131
Si 0.000 0.500 0.869

A geometry-optimized TbHo2Al3Si2Pt structure, computed with PBE-GGA.

total DFT energy (no corrections): -49.830 eV/cell
space-group type: No. 38

Cell: 4.220 6.905 6.905 Å, 120.02 90.00 90.00°
Fractional positions:
Al 0.500 0.763 0.001
Al 0.500 0.237 0.237
Al 0.500 0.001 0.763
Ho 0.000 0.000 0.417
Ho 0.000 0.417 0.000
Pt 0.000 0.002 0.002
Si 0.500 0.667 0.332
Si 0.500 0.332 0.667
Tb 0.000 0.582 0.582

A geometry-optimized Ho2TmAl3Si2Pt structure, computed with PBE-GGA.

total DFT energy (no corrections): -49.686 eV/cell
space-group type: No. 38

Cell: 4.206 6.868 6.868 Å, 119.97 90.00 90.00°
Fractional positions:
Al 0.500 0.238 0.238
Al 0.500 0.000 0.762
Al 0.500 0.762 0.000
Ho 0.000 0.418 0.000
Ho 0.000 0.000 0.418
Pt 0.000 0.998 0.998
Si 0.500 0.666 0.335
Si 0.500 0.335 0.666
Tm 0.000 0.583 0.583

A geometry-optimized Y2HoAl3Si2Pt structure, computed with PBE-GGA.

total DFT energy (no corrections): -53.587 eV/cell
space-group type: No. 38

Cell: 4.216 6.914 6.914 Å, 120.02 90.00 90.00°
Fractional positions:
Al 0.500 0.237 0.000
Al 0.500 0.000 0.237
Al 0.500 0.763 0.763
Ho 0.000 0.417 0.417
Pt 0.000 0.002 0.002
Si 0.500 0.666 0.334
Si 0.500 0.334 0.666
Y 0.000 0.000 0.582
Y 0.000 0.582 0.000

A geometry-optimized YHo2Al3Si2Pt structure, computed with PBE-GGA.

total DFT energy (no corrections): -51.691 eV/cell
space-group type: No. 38

Cell: 4.215 6.900 6.900 Å, 120.02 90.00 90.00°
Fractional positions:
Al 0.500 0.763 0.000
Al 0.500 0.237 0.237
Al 0.500 0.000 0.763
Ho 0.000 0.000 0.417
Ho 0.000 0.417 0.000
Pt 0.000 0.002 0.002
Si 0.500 0.667 0.332
Si 0.500 0.332 0.667
Y 0.000 0.582 0.582

A geometry-optimized Ho2AlSnPt4 structure, computed with PBE-GGA.

total DFT energy (no corrections): -49.832 eV/cell
space-group type: No. 164

Cell: 4.439 4.439 9.153 Å, 90.00 90.00 120.00°
Fractional positions:
Al 0.000 0.000 0.000
Ho 0.667 0.333 0.244
Ho 0.333 0.667 0.756
Pt 0.333 0.667 0.080
Pt 0.333 0.667 0.403
Pt 0.667 0.333 0.597
Pt 0.667 0.333 0.920
Sn 0.000 0.000 0.500

A geometry-optimized RbHoAl structure, computed with PBE-GGA.

total DFT energy (no corrections): -6.836 eV/cell
space-group type: No. 216

Cell: 5.360 5.360 5.360 Å, 60.00 60.00 60.00°
Fractional positions:
Al 0.250 0.250 0.250
Ho 0.000 0.000 0.000
Rb 0.750 0.750 0.750

A geometry-optimized RbHoAlSe3 structure, computed with PBE-GGA.

total DFT energy (no corrections): -54.580 eV/cell
space-group type: No. 63

Cell: 7.947 7.947 10.941 Å, 90.00 90.00 148.61°
Fractional positions:
Al 0.529 0.471 0.250
Al 0.471 0.529 0.750
Ho 0.000 0.000 0.000
Ho 0.000 0.000 0.500
Rb 0.258 0.742 0.250
Rb 0.742 0.258 0.750
Se 0.622 0.378 0.068
Se 0.944 0.056 0.250
Se 0.622 0.378 0.432
Se 0.378 0.622 0.568
Se 0.056 0.944 0.750
Se 0.378 0.622 0.932

A geometry-optimized Ho2AlRe3 structure, computed with PBE-GGA.

total DFT energy (no corrections): -104.231 eV/cell
space-group type: No. 194

Cell: 5.337 5.337 9.015 Å, 90.00 90.00 120.00°
Fractional positions:
Al 0.000 0.000 0.000
Al 0.000 0.000 0.500
Ho 0.333 0.667 0.067
Ho 0.333 0.667 0.433
Ho 0.667 0.333 0.567
Ho 0.667 0.333 0.933
Re 0.341 0.170 0.250
Re 0.830 0.170 0.250
Re 0.830 0.659 0.250
Re 0.170 0.341 0.750
Re 0.170 0.830 0.750
Re 0.659 0.830 0.750

Which value of total DFT energy (no corrections) does entry 1 give?
-17.041 eV/cell

Among the records above, which one has the highest total DFT energy (no corrections)?
RbHoAl